## IrOs2Rh (PBE-GGA)

Data for a relaxed IrOs2Rh crystal.

Calculated values
ΔE_f, eV per atom: 0.192
DFT total energy, eV per atom: -9.48
Excess energy over the best structure of this formula in the dataset, meV per atom: 145

Cell: 4.2314 5.2526 5.2526 Å, 29.73 90.00 90.00°
Positions (direct):
Ir (0.0000, 0.0000, 0.0000)
Os (0.0000, 0.2551, 0.2551)
Os (0.5000, 0.6033, 0.6033)
Rh (0.5000, 0.8573, 0.8573)

***

## Ir3Os4Rh12 (PBE-GGA)

Data for a relaxed Ir3Os4Rh12 crystal.

Calculated values
ΔE_f, eV per atom: 0.872
DFT total energy, eV per atom: -7.53

Cell: 7.9573 7.9573 7.9573 Å, 109.47 109.47 109.47°
Positions (direct):
Ir (0.0000, 0.5000, 0.5000)
Ir (0.5000, 0.0000, 0.5000)
Ir (0.5000, 0.5000, 0.0000)
Os (0.0000, 0.0000, 0.5000)
Os (0.0000, 0.5000, 0.0000)
Os (0.5000, 0.0000, 0.0000)
Os (0.5000, 0.5000, 0.5000)
Rh (0.0989, 0.7416, 0.3573)
Rh (0.2584, 0.3573, 0.6157)
Rh (0.2584, 0.6427, 0.9011)
Rh (0.3573, 0.0989, 0.7416)
Rh (0.3573, 0.6157, 0.2584)
Rh (0.3843, 0.7416, 0.6427)
Rh (0.6157, 0.2584, 0.3573)
Rh (0.6427, 0.3843, 0.7416)
Rh (0.6427, 0.9011, 0.2584)
Rh (0.7416, 0.3573, 0.0989)
Rh (0.7416, 0.6427, 0.3843)
Rh (0.9011, 0.2584, 0.6427)

***

## Ir2OsRh3 (PBE-GGA)

Data for a relaxed Ir2OsRh3 crystal.

Calculated values
ΔE_f, eV per atom: 0.121
DFT total energy, eV per atom: -8.38
Excess energy over the best structure of this formula in the dataset, meV per atom: 0

Cell: 6.3592 2.7234 10.3414 Å, 90.00 97.06 90.00°
Positions (direct):
Ir (0.0888, 0.2500, 0.1070)
Ir (0.3682, 0.7500, 0.5785)
Ir (0.6318, 0.2500, 0.4215)
Ir (0.9112, 0.7500, 0.8930)
Os (0.1494, 0.2500, 0.7343)
Os (0.8506, 0.7500, 0.2657)
Rh (0.1863, 0.2500, 0.3718)
Rh (0.3278, 0.7500, 0.9425)
Rh (0.4320, 0.7500, 0.2148)
Rh (0.5680, 0.2500, 0.7852)
Rh (0.6722, 0.2500, 0.0575)
Rh (0.8137, 0.7500, 0.6282)

***

## Ir3Os2Rh3 (PBE-GGA)

Data for a relaxed Ir3Os2Rh3 crystal.

Calculated values
ΔE_f, eV per atom: 0.061
DFT total energy, eV per atom: -8.83
Excess energy over the best structure of this formula in the dataset, meV per atom: 0

Cell: 3.8538 3.8708 7.6825 Å, 90.00 90.00 90.00°
Positions (direct):
Ir (0.0000, 0.0000, 0.0000)
Ir (0.0000, 0.0000, 0.5000)
Ir (0.5000, 0.5000, 0.0000)
Os (0.5000, 0.0000, 0.2497)
Os (0.5000, 0.0000, 0.7503)
Rh (0.0000, 0.5000, 0.2492)
Rh (0.0000, 0.5000, 0.7508)
Rh (0.5000, 0.5000, 0.5000)

***

## IrOsRh2 (PBE-GGA)

Data for a relaxed IrOsRh2 crystal.

Calculated values
ΔE_f, eV per atom: 0.038
DFT total energy, eV per atom: -8.66
Excess energy over the best structure of this formula in the dataset, meV per atom: 30

Cell: 4.7201 4.7171 3.8450 Å, 66.00 65.92 48.09°
Positions (direct):
Ir (0.0000, 0.0000, 0.0000)
Os (0.2500, 0.2500, 0.2500)
Rh (0.5000, 0.5000, 0.5000)
Rh (0.7500, 0.7500, 0.7500)

***

## Ir12Os5Rh3 (PBE-GGA)

Data for a relaxed Ir12Os5Rh3 crystal.

Calculated values
ΔE_f, eV per atom: 0.941
DFT total energy, eV per atom: -8.29

Cell: 12.5104 12.5104 12.5104 Å, 109.47 109.47 109.47°
Positions (direct):
Ir (0.0599, 0.2305, 0.1364)
Ir (0.0599, 0.3294, 0.9235)
Ir (0.0765, 0.6364, 0.4059)
Ir (0.0765, 0.9401, 0.6706)
Ir (0.0941, 0.7305, 0.6706)
Ir (0.0941, 0.8636, 0.4235)
Ir (0.1364, 0.0599, 0.2305)
Ir (0.1364, 0.5765, 0.9059)
Ir (0.1706, 0.2305, 0.5941)
Ir (0.1706, 0.4401, 0.5765)
Ir (0.2305, 0.1364, 0.0599)
Ir (0.2305, 0.5941, 0.1706)
Ir (0.2695, 0.3294, 0.9059)
Ir (0.2695, 0.4401, 0.3636)
Ir (0.3294, 0.9059, 0.2695)
Ir (0.3294, 0.9235, 0.0599)
Ir (0.3636, 0.2695, 0.4401)
Ir (0.3636, 0.5941, 0.9235)
Ir (0.4059, 0.0765, 0.6364)
Ir (0.4059, 0.8294, 0.7695)
Ir (0.4235, 0.0941, 0.8636)
Ir (0.4235, 0.8294, 0.5599)
Ir (0.4401, 0.3636, 0.2695)
Ir (0.4401, 0.5765, 0.1706)
Ir (0.5599, 0.4235, 0.8294)
Ir (0.5599, 0.6364, 0.7305)
Ir (0.5765, 0.1706, 0.4401)
Ir (0.5765, 0.9059, 0.1364)
Ir (0.5941, 0.1706, 0.2305)
Ir (0.5941, 0.9235, 0.3636)
Ir (0.6364, 0.4059, 0.0765)
Ir (0.6364, 0.7305, 0.5599)
Ir (0.6706, 0.0765, 0.9401)
Ir (0.6706, 0.0941, 0.7305)
Ir (0.7305, 0.5599, 0.6364)
Ir (0.7305, 0.6706, 0.0941)
Ir (0.7695, 0.4059, 0.8294)
Ir (0.7695, 0.8636, 0.9401)
Ir (0.8294, 0.5599, 0.4235)
Ir (0.8294, 0.7695, 0.4059)
Ir (0.8636, 0.4235, 0.0941)
Ir (0.8636, 0.9401, 0.7695)
Ir (0.9059, 0.1364, 0.5765)
Ir (0.9059, 0.2695, 0.3294)
Ir (0.9235, 0.0599, 0.3294)
Ir (0.9235, 0.3636, 0.5941)
Ir (0.9401, 0.6706, 0.0765)
Ir (0.9401, 0.7695, 0.8636)
Os (0.0000, 0.0000, 0.0000)
Os (0.0000, 0.0000, 0.5000)
Os (0.0000, 0.5000, 0.0000)
Os (0.0000, 0.5000, 0.5000)
Os (0.1250, 0.7500, 0.8750)
Os (0.1250, 0.8750, 0.2500)
Os (0.2500, 0.1250, 0.8750)
Os (0.2500, 0.6250, 0.3750)
Os (0.3750, 0.2500, 0.6250)
Os (0.3750, 0.6250, 0.7500)
Os (0.5000, 0.0000, 0.0000)
Os (0.5000, 0.0000, 0.5000)
Os (0.5000, 0.5000, 0.0000)
Os (0.5000, 0.5000, 0.5000)
Os (0.6250, 0.3750, 0.2500)
Os (0.6250, 0.7500, 0.3750)
Os (0.7500, 0.3750, 0.6250)
Os (0.7500, 0.8750, 0.1250)
Os (0.8750, 0.1250, 0.7500)
Os (0.8750, 0.2500, 0.1250)
Rh (0.1250, 0.2500, 0.3750)
Rh (0.1250, 0.3750, 0.7500)
Rh (0.2500, 0.3750, 0.1250)
Rh (0.2500, 0.8750, 0.6250)
Rh (0.3750, 0.1250, 0.2500)
Rh (0.3750, 0.7500, 0.1250)
Rh (0.6250, 0.2500, 0.8750)
Rh (0.6250, 0.8750, 0.7500)
Rh (0.7500, 0.1250, 0.3750)
Rh (0.7500, 0.6250, 0.8750)
Rh (0.8750, 0.6250, 0.2500)
Rh (0.8750, 0.7500, 0.6250)

***

- What is the formula in the third record?
  Ir2OsRh3

***

- Which of these has the highest DFT total energy?
  Ir3Os4Rh12

***

- Which formula does entry 2 have?
  Ir3Os4Rh12